Entry 1:
{"formula": "Al5Rh7", "functional": "PBE-GGA", "state": "optimized geometry", "ef_ev_per_atom": -0.6302, "e_tot_ev_per_atom": -6.48, "de_polymorph_mev_per_atom": 158, "space_group": "C2, No. 5", "lattice_angstrom": [[2.769, -8.360, 0.000], [2.769, 8.360, 0.000], [-2.673, 0.000, 3.669]], "species": ["Al", "Al", "Al", "Al", "Al", "Rh", "Rh", "Rh", "Rh", "Rh", "Rh", "Rh"], "fractional_positions": [[0.000, 0.000, 0.000], [0.399, 0.601, 0.500], [0.583, 0.417, 0.500], [0.746, 0.254, 0.500], [0.912, 0.088, 0.500], [0.072, 0.928, 0.500], [0.160, 0.840, 0.000], [0.239, 0.761, 0.500], [0.325, 0.675, 0.000], [0.490, 0.510, 0.000], [0.659, 0.341, 0.000], [0.841, 0.159, 0.000]]}

***

Entry 2:
{"formula": "Al4Rh", "functional": "PBE-GGA", "state": "optimized geometry", "ef_ev_per_atom": 0.0685, "e_tot_ev_per_atom": -4.40, "de_polymorph_mev_per_atom": 550, "space_group": "I4/mmm, No. 139", "lattice_angstrom": [[3.535, 0.000, 0.000], [0.000, 3.535, 0.000], [0.000, 0.000, 13.404]], "species": ["Al", "Al", "Al", "Al", "Al", "Al", "Al", "Al", "Rh", "Rh"], "fractional_positions": [[0.000, 0.000, 0.094], [0.000, 0.000, 0.906], [0.000, 0.500, 0.250], [0.000, 0.500, 0.750], [0.500, 0.000, 0.250], [0.500, 0.000, 0.750], [0.500, 0.500, 0.406], [0.500, 0.500, 0.594], [0.000, 0.000, 0.500], [0.500, 0.500, 0.000]]}

***

Entry 3:
{"formula": "Al4Rh", "functional": "PBE-GGA", "state": "optimized geometry", "ef_ev_per_atom": -0.0284, "e_tot_ev_per_atom": -4.49, "de_polymorph_mev_per_atom": 454, "space_group": "Pm-3m, No. 221", "lattice_angstrom": [[4.714, 0.000, 0.000], [0.000, 4.714, 0.000], [0.000, 0.000, 4.714]], "species": ["Al", "Al", "Al", "Al", "Rh"], "fractional_positions": [[0.000, 0.000, 0.000], [0.000, 0.500, 0.500], [0.500, 0.000, 0.500], [0.500, 0.500, 0.000], [0.500, 0.500, 0.500]]}

***

Entry 4:
{"formula": "AlRh3", "functional": "PBE-GGA", "state": "optimized geometry", "ef_ev_per_atom": -0.4597, "e_tot_ev_per_atom": -6.91, "space_group": "Imm2, No. 44", "lattice_angstrom": [[2.780, 0.000, 0.000], [0.000, 8.641, 0.000], [0.000, 0.000, 4.677]], "species": ["Al", "Al", "Rh", "Rh", "Rh", "Rh", "Rh", "Rh"], "fractional_positions": [[0.000, 0.000, 0.000], [0.500, 0.500, 0.500], [0.000, 0.258, 0.344], [0.000, 0.500, 0.992], [0.000, 0.742, 0.344], [0.500, 0.000, 0.492], [0.500, 0.242, 0.844], [0.500, 0.758, 0.844]]}

***

Entry 5:
{"formula": "Al4Rh5", "functional": "PBE-GGA", "state": "optimized geometry", "ef_ev_per_atom": -0.6709, "e_tot_ev_per_atom": -6.42, "de_polymorph_mev_per_atom": 125, "space_group": "P1, No. 1", "lattice_angstrom": [[4.687, 0.000, 0.000], [0.847, 4.657, 0.000], [0.705, 1.495, 5.849]], "species": ["Al", "Al", "Al", "Al", "Rh", "Rh", "Rh", "Rh", "Rh"], "fractional_positions": [[0.000, 0.000, 0.000], [0.099, 0.594, 0.734], [0.633, 0.339, 0.655], [0.869, 0.452, 0.222], [0.170, 0.133, 0.578], [0.320, 0.681, 0.316], [0.390, 0.254, 0.071], [0.604, 0.777, 0.875], [0.749, 0.922, 0.409]]}

***

Entry 6:
{"formula": "Al6Rh", "functional": "PBE-GGA", "state": "optimized geometry", "ef_ev_per_atom": -0.3379, "e_tot_ev_per_atom": -4.60, "space_group": "Cmcm, No. 63", "lattice_angstrom": [[3.756, -3.349, 0.000], [3.756, 3.349, 0.000], [0.000, 0.000, 8.863]], "species": ["Al", "Al", "Al", "Al", "Al", "Al", "Al", "Al", "Al", "Al", "Al", "Al", "Rh", "Rh"], "fractional_positions": [[0.018, 0.626, 0.250], [0.147, 0.853, 0.595], [0.147, 0.853, 0.905], [0.315, 0.315, 0.000], [0.315, 0.315, 0.500], [0.374, 0.982, 0.250], [0.626, 0.018, 0.750], [0.685, 0.685, 0.000], [0.685, 0.685, 0.500], [0.853, 0.147, 0.095], [0.853, 0.147, 0.405], [0.982, 0.374, 0.750], [0.470, 0.530, 0.750], [0.530, 0.470, 0.250]]}